First-principles (SCAN) data for a PBEsol-optimized structure of CdMoBr2, as listed in Alexandria.

The density of states at the Fermi level is 1.449 states/eV/cell. The uncorrected formation energy is 0.5255 eV per atom. The symmetry is P4/mmm, No. 123. The calculation puts the excess energy over the best structure of this formula in the dataset at 2.07 eV/f.u. Its crystal system is tetragonal. The total energy is -25.53 eV per atom.

Geometry as extended XYZ:
```
4
Lattice="-0.609 3.578 1.227 -4.131 -1.417 2.082 2.399 -0.992 4.083" Properties=species:S:1:pos:R:3 pbc="T T T"
Mo -0.304 1.789 0.614
Br 1.199 -0.496 2.041
Br -2.065 -0.709 1.041
Cd -1.171 0.585 3.696
```

---

First-principles (SCAN) data for a PBEsol-optimized structure of CdMo2Br, as listed in Alexandria.

The density of states at the Fermi level is 4.185 states/eV/cell. The uncorrected formation energy is 1.1604 eV per atom. The symmetry is P4/mmm, No. 123. The calculation puts the excess energy over the best structure of this formula in the dataset at 3.31 eV/f.u. Its crystal system is tetragonal. The total energy is -28.75 eV per atom.

Geometry as extended XYZ:
```
4
Lattice="-2.825 0.873 0.096 -1.233 -3.690 -2.730 -0.686 -2.647 3.887" Properties=species:S:1:pos:R:3 pbc="T T T"
Mo -0.343 -1.323 1.944
Mo -0.617 -1.845 -1.365
Br -2.372 -2.731 0.627
Cd -1.413 0.437 0.048
```

---

First-principles (SCAN) data for a PBEsol-optimized structure of CdMo2Br, as listed in Alexandria.

The density of states at the Fermi level is 3.449 states/eV/cell. The uncorrected formation energy is 1.2203 eV per atom. The symmetry is I4/mmm, No. 139. The calculation puts the excess energy over the best structure of this formula in the dataset at 3.55 eV/f.u. Its crystal system is tetragonal. The total energy is -28.69 eV per atom.

Geometry as extended XYZ:
```
4
Lattice="3.889 0.000 0.000 0.000 3.889 0.000 -1.945 -1.945 4.703" Properties=species:S:1:pos:R:3 pbc="T T T"
Mo 1.945 0.000 2.351
Mo 0.000 1.945 2.351
Br 1.945 1.945 0.000
Cd 0.000 0.000 0.000
```

---

First-principles (SCAN) data for a PBEsol-optimized structure of CdBrN2, as listed in Alexandria.

The density of states at the Fermi level is 1.074 states/eV/cell. The uncorrected formation energy is 1.8456 eV per atom. The symmetry is R-3m, No. 166. Its crystal system is trigonal. The total energy is -15.27 eV per atom.

Geometry as extended XYZ:
```
4
Lattice="3.417 0.000 0.000 1.708 2.959 0.000 1.708 0.986 6.184" Properties=species:S:1:pos:R:3 pbc="T T T"
N 5.125 2.959 2.080
N 1.708 0.986 4.104
Br 3.417 1.973 3.092
Cd 0.000 0.000 0.000
```